No. 1
Density functional theory data (PBE) for an optimized crystal structure of CaTaAg.

Calculated values
Size of the total moment, μB per atom: 0.00
Energy of formation, eV per atom: 0.2945

Unit cell a=8.681 b=3.442 c=9.311 alpha=90.00 beta=90.00 gamma=90.00
Fractional coordinates of all 12 atoms:
Ca  0.071  0.250  0.825
Ca  0.429  0.750  0.325
Ca  0.929  0.750  0.175
Ca  0.571  0.250  0.675
Ag  0.725  0.250  0.363
Ag  0.775  0.750  0.863
Ag  0.275  0.750  0.637
Ag  0.225  0.250  0.137
Ta  0.100  0.250  0.449
Ta  0.400  0.750  0.949
Ta  0.900  0.750  0.551
Ta  0.600  0.250  0.051



No. 2
Density functional theory data (PBE) for an optimized crystal structure of Li3Pu2USe6.

Calculated values
Size of the total moment, μB per atom: 1.08
ΔE_f (raw), eV/atom: -1.3473

Unit cell a=7.131 b=7.131 c=6.878 alpha=99.96 beta=99.96 gamma=120.01
Fractional coordinates of all 12 atoms:
Li  0.166  0.834  0.500
Li  0.834  0.166  0.500
Li  0.500  0.500  0.500
Pu  0.333  0.667  0.000
Pu  0.667  0.333  0.000
U  0.000  0.000  0.000
Se  0.914  0.588  0.744
Se  0.757  0.757  0.254
Se  0.086  0.412  0.256
Se  0.588  0.914  0.744
Se  0.243  0.243  0.746
Se  0.412  0.086  0.256



No. 3
Density functional theory data (PBE) for an optimized crystal structure of VCuSn2I.

Calculated values
Size of the total moment, μB per atom: 0.00
ΔE_f (raw), eV/atom: 1.0128

Unit cell a=4.901 b=5.860 c=4.901 alpha=90.00 beta=90.00 gamma=90.00
Fractional coordinates of all 5 atoms:
I  0.000  0.500  0.000
Sn  0.000  0.000  0.500
Sn  0.500  0.000  0.000
Cu  0.000  0.000  0.000
V  0.500  0.500  0.500



No. 4
Density functional theory data (PBE) for an optimized crystal structure of GaBiPSe.

Calculated values
Size of the total moment, μB per atom: 0.00
ΔE_f (raw), eV/atom: -0.1355

Unit cell a=3.951 b=3.951 c=7.456 alpha=90.00 beta=90.00 gamma=120.00
Fractional coordinates of all 4 atoms:
Ga  0.000  0.000  0.070
Bi  0.333  0.667  0.478
P  0.667  0.333  0.196
Se  0.000  0.000  0.725



No. 5
Density functional theory data (PBE) for an optimized crystal structure of Na2PuPaN4.

Calculated values
Size of the total moment, μB per atom: 0.37
ΔE_f (raw), eV/atom: -0.9881

Unit cell a=3.536 b=6.146 c=6.023 alpha=110.20 beta=90.00 gamma=90.00
Fractional coordinates of all 8 atoms:
Na  0.500  0.000  0.500
Na  0.000  0.500  0.500
Pu  0.500  0.500  0.000
Pa  0.000  0.000  0.000
N  0.500  0.232  0.181
N  0.500  0.768  0.819
N  0.000  0.277  0.820
N  0.000  0.723  0.180



No. 6
Density functional theory data (PBE) for an optimized crystal structure of SrLiY2.

Calculated values
Size of the total moment, μB per atom: 0.00
Energy of formation, eV per atom: 0.1680

Unit cell a=11.913 b=11.913 c=11.913 alpha=17.83 beta=17.83 gamma=17.83
Fractional coordinates of all 4 atoms:
Li  0.505  0.505  0.505
Sr  0.753  0.753  0.753
Y  0.994  0.994  0.994
Y  0.248  0.248  0.248



No. 7
Density functional theory data (PBE) for an optimized crystal structure of TaReOF2.

Calculated values
Size of the total moment, μB per atom: 0.80
ΔE_f (raw), eV/atom: -0.5266

Unit cell a=4.376 b=4.376 c=3.961 alpha=90.00 beta=90.00 gamma=90.00
Fractional coordinates of all 5 atoms:
Re  0.500  0.500  0.500
F  0.000  0.500  0.000
F  0.500  0.000  0.000
O  0.000  0.000  0.500
Ta  0.000  0.000  0.000



No. 8
Density functional theory data (PBE) for an optimized crystal structure of MgInCoCu.

Calculated values
Size of the total moment, μB per atom: 0.05
Energy of formation, eV per atom: 0.0241

Unit cell a=4.419 b=4.419 c=4.419 alpha=60.00 beta=60.00 gamma=60.00
Fractional coordinates of all 4 atoms:
Mg  0.000  0.000  0.000
Co  0.750  0.750  0.750
Cu  0.250  0.250  0.250
In  0.500  0.500  0.500



No. 9
Density functional theory data (PBE) for an optimized crystal structure of KH5S2O9.

Calculated values
Size of the total moment, μB per atom: 0.00
Final energy, eV per formula unit: -93.28

Unit cell a=13.661 b=7.531 c=8.656 alpha=72.54 beta=90.00 gamma=90.00
Fractional coordinates of all 68 atoms:
K  0.469  0.904  0.779
K  0.969  0.096  0.721
K  0.531  0.096  0.221
K  0.031  0.904  0.279
H  0.431  0.379  0.513
H  0.931  0.621  0.987
H  0.569  0.621  0.487
H  0.069  0.379  0.013
H  0.725  0.854  0.959
H  0.225  0.146  0.541
H  0.275  0.146  0.041
H  0.775  0.854  0.459
H  0.797  0.449  0.797
H  0.297  0.551  0.703
H  0.203  0.551  0.203
H  0.703  0.449  0.297
H  0.672  0.453  0.779
H  0.172  0.547  0.721
H  0.328  0.547  0.221
H  0.828  0.453  0.279
H  0.727  0.304  0.946
H  0.227  0.696  0.554
H  0.273  0.696  0.054
H  0.773  0.304  0.446
S  0.478  0.400  0.750
S  0.978  0.600  0.750
S  0.522  0.600  0.250
S  0.022  0.400  0.250
S  0.798  0.989  0.115
S  0.298  0.011  0.385
S  0.202  0.011  0.885
S  0.702  0.989  0.615
O  0.497  0.252  0.898
O  0.997  0.748  0.602
O  0.503  0.748  0.102
O  0.003  0.252  0.398
O  0.570  0.494  0.673
O  0.070  0.506  0.827
O  0.430  0.506  0.327
O  0.930  0.494  0.173
O  0.406  0.540  0.764
O  0.906  0.460  0.736
O  0.594  0.460  0.236
O  0.094  0.540  0.264
O  0.434  0.297  0.631
O  0.934  0.703  0.869
O  0.566  0.703  0.369
O  0.066  0.297  0.131
O  0.825  0.914  0.286
O  0.325  0.086  0.214
O  0.175  0.086  0.714
O  0.675  0.914  0.786
O  0.882  0.055  0.011
O  0.382  0.945  0.489
O  0.118  0.945  0.989
O  0.618  0.055  0.511
O  0.720  0.134  0.089
O  0.220  0.866  0.411
O  0.280  0.866  0.911
O  0.780  0.134  0.589
O  0.751  0.817  0.075
O  0.251  0.183  0.425
O  0.249  0.183  0.925
O  0.749  0.817  0.575
O  0.731  0.431  0.854
O  0.231  0.569  0.646
O  0.269  0.569  0.146
O  0.769  0.431  0.354



No. 10
Density functional theory data (PBE) for an optimized crystal structure of Sm2PuSnC.

Calculated values
Size of the total moment, μB per atom: 1.14
Energy of formation, eV per atom: -0.4229

Unit cell a=4.765 b=5.074 c=5.074 alpha=90.00 beta=90.00 gamma=90.00
Fractional coordinates of all 5 atoms:
Sm  0.000  0.000  0.500
Sm  0.000  0.500  0.000
Pu  0.500  0.000  0.000
Sn  0.500  0.500  0.500
C  0.000  0.000  0.000



No. 11
Density functional theory data (PBE) for an optimized crystal structure of TlHg2Mo.

Calculated values
Size of the total moment, μB per atom: 0.10
Energy of formation, eV per atom: 0.6361

Unit cell a=5.143 b=3.009 c=5.504 alpha=90.03 beta=90.00 gamma=90.00
Fractional coordinates of all 4 atoms:
Hg  0.000  0.125  0.968
Hg  0.500  0.125  0.303
Mo  0.000  0.625  0.452
Tl  0.500  0.625  0.778



No. 12
Density functional theory data (PBE) for an optimized crystal structure of CaCe2O.

Calculated values
Size of the total moment, μB per atom: 0.54
ΔE_f (raw), eV/atom: -1.1234

Unit cell a=3.571 b=3.571 c=9.936 alpha=79.65 beta=79.65 gamma=60.00
Fractional coordinates of all 4 atoms:
Ca  0.000  0.000  0.000
O  0.500  0.500  0.500
Ce  0.120  0.120  0.641
Ce  0.880  0.880  0.359